VASP calculation (PBE-GGA) on an optimized crystal structure of Ni2RuPb.

Computed properties:
VASP energy = -23.235 eV per cell
formation energy from the elements = 0.33 eV/atom

Cell: 3.8892 3.8892 3.8927 Å, 90.00 90.00 90.00°
Element x y z (fractional)
Ni  0.0000  0.5000  0.0000
Ni  0.5000  0.0000  0.0000
Ru  0.0000  0.0000  0.5000
Pb  0.5000  0.5000  0.5000

=====

VASP calculation (PBE-GGA) on an optimized crystal structure of NiRuPb.

Computed properties:
VASP energy = -16.772 eV per cell
formation energy from the elements = 0.66 eV/atom

Cell: 3.0911 3.0911 6.2337 Å, 90.00 90.00 120.00°
Element x y z (fractional)
Ni  0.0000  0.0000  0.0000
Ru  0.6667  0.3333  0.7120
Pb  0.3333  0.6667  0.3492

=====

VASP calculation (PBE-GGA) on an optimized crystal structure of NiRuPb2.

Computed properties:
VASP energy = -41.481 eV per cell
formation energy from the elements = 0.43 eV/atom

Cell: 3.2601 4.2138 11.5236 Å, 90.00 90.00 90.00°
Element x y z (fractional)
Ni  0.0000  0.0000  0.0000
Ni  0.5000  0.5000  0.5000
Ru  0.0000  0.5000  0.3060
Ru  0.5000  0.0000  0.8060
Pb  0.0000  0.0000  0.4708
Pb  0.0000  0.5000  0.7082
Pb  0.5000  0.0000  0.2082
Pb  0.5000  0.5000  0.9708